Entry i
{"formula": "YThPd", "functional": "PBE", "state": "relaxed", "cell": [[3.654, 0.000, 0.000], [0.000, 3.654, 0.000], [0.000, 0.000, 11.830]], "species": ["Y", "Y", "Th", "Th", "Pd", "Pd"], "fractional_positions": [[0.000, 0.000, 0.000], [0.500, 0.500, 0.500], [0.000, 0.000, 0.708], [0.500, 0.500, 0.208], [0.000, 0.000, 0.346], [0.500, 0.500, 0.846]], "magnetic_moment_mub_per_atom": 0.00, "volume_a3_per_atom": 26.3, "dos_at_fermi_per_ev_atom": 1.104}

Entry ii
{"formula": "YThPd", "functional": "PBE", "state": "relaxed", "cell": [[6.236, 0.000, 0.000], [0.000, 3.833, 0.000], [-0.576, 0.000, 7.160]], "species": ["Y", "Y", "Th", "Th", "Pd", "Pd"], "fractional_positions": [[0.000, 0.000, 0.000], [0.497, 0.500, 0.886], [0.192, 0.000, 0.515], [0.729, 0.500, 0.359], [0.268, 0.500, 0.225], [0.688, 0.000, 0.653]], "magnetic_moment_mub_per_atom": 0.00, "volume_a3_per_atom": 28.5, "dos_at_fermi_per_ev_atom": 1.262}

Least stable structure: entry ii

Entry i
{"formula": "YThPd4", "functional": "PBE", "state": "relaxed", "cell": [[2.110, -10.036, 0.000], [2.110, 10.036, 0.000], [0.000, 0.000, 5.830]], "species": ["Y", "Y", "Th", "Th", "Pd", "Pd", "Pd", "Pd", "Pd", "Pd", "Pd", "Pd"], "fractional_positions": [[0.225, 0.775, 0.750], [0.775, 0.225, 0.250], [0.080, 0.920, 0.250], [0.920, 0.080, 0.750], [0.072, 0.928, 0.750], [0.353, 0.647, 0.012], [0.353, 0.647, 0.488], [0.500, 0.500, 0.000], [0.500, 0.500, 0.500], [0.647, 0.353, 0.512], [0.647, 0.353, 0.988], [0.928, 0.072, 0.250]], "magnetic_moment_mub_per_atom": 0.00, "volume_a3_per_atom": 20.6, "dos_at_fermi_per_ev_atom": 0.387}

Entry ii
{"formula": "YThPd4", "functional": "PBE", "state": "relaxed", "cell": [[0.000, 3.890, 3.890], [3.890, 0.000, 3.890], [3.890, 3.890, 0.000]], "species": ["Y", "Th", "Pd", "Pd", "Pd", "Pd"], "fractional_positions": [[0.000, 0.000, 0.000], [0.750, 0.750, 0.750], [0.375, 0.375, 0.375], [0.375, 0.375, 0.876], [0.375, 0.876, 0.375], [0.876, 0.375, 0.375]], "magnetic_moment_mub_per_atom": 0.00, "volume_a3_per_atom": 19.6, "dos_at_fermi_per_ev_atom": 0.784}

Least stable structure: entry ii

Entry i
{"formula": "YTh2Pd", "functional": "PBE", "state": "relaxed", "cell": [[3.728, 0.000, 0.000], [0.000, 11.778, 0.000], [0.000, 0.000, 10.358]], "species": ["Y", "Y", "Y", "Y", "Th", "Th", "Th", "Th", "Th", "Th", "Th", "Th", "Pd", "Pd", "Pd", "Pd"], "fractional_positions": [[0.000, 0.082, 0.250], [0.000, 0.918, 0.750], [0.500, 0.418, 0.750], [0.500, 0.582, 0.250], [0.000, 0.365, 0.050], [0.000, 0.365, 0.450], [0.000, 0.635, 0.550], [0.000, 0.635, 0.950], [0.500, 0.135, 0.550], [0.500, 0.135, 0.950], [0.500, 0.865, 0.050], [0.500, 0.865, 0.450], [0.000, 0.218, 0.750], [0.000, 0.782, 0.250], [0.500, 0.282, 0.250], [0.500, 0.718, 0.750]], "magnetic_moment_mub_per_atom": 0.00, "volume_a3_per_atom": 28.4, "dos_at_fermi_per_ev_atom": 1.137}

Entry ii
{"formula": "YTh2Pd", "functional": "PBE", "state": "relaxed", "cell": [[3.671, 0.000, 0.000], [0.000, 3.671, 0.000], [0.000, 0.000, 8.455]], "species": ["Y", "Th", "Th", "Pd"], "fractional_positions": [[0.000, 0.000, 0.000], [0.500, 0.500, 0.294], [0.500, 0.500, 0.706], [0.000, 0.000, 0.500]], "magnetic_moment_mub_per_atom": 0.00, "volume_a3_per_atom": 28.5, "dos_at_fermi_per_ev_atom": 1.381}

Entry iii
{"formula": "YTh2Pd", "functional": "PBE", "state": "relaxed", "cell": [[3.731, 0.000, 0.000], [-1.865, 3.231, 0.000], [0.000, 0.000, 29.356]], "species": ["Y", "Y", "Y", "Th", "Th", "Th", "Th", "Th", "Th", "Pd", "Pd", "Pd"], "fractional_positions": [[0.000, 0.000, 0.000], [0.333, 0.667, 0.667], [0.667, 0.333, 0.333], [0.000, 0.000, 0.236], [0.000, 0.000, 0.764], [0.333, 0.667, 0.430], [0.333, 0.667, 0.903], [0.667, 0.333, 0.097], [0.667, 0.333, 0.570], [0.000, 0.000, 0.500], [0.333, 0.667, 0.167], [0.667, 0.333, 0.833]], "magnetic_moment_mub_per_atom": 0.00, "volume_a3_per_atom": 29.5, "dos_at_fermi_per_ev_atom": 1.151}

Least stable structure: entry iii

Entry i
{"formula": "Th3Zn4Pd4", "functional": "PBE", "state": "relaxed", "cell": [[-2.082, 3.721, 7.168], [2.082, -3.721, 7.168], [2.082, 3.721, -7.168]], "species": ["Th", "Th", "Th", "Zn", "Zn", "Zn", "Zn", "Pd", "Pd", "Pd", "Pd"], "fractional_positions": [[0.000, 0.000, 0.000], [0.372, 0.872, 0.500], [0.628, 0.128, 0.500], [0.019, 0.327, 0.693], [0.366, 0.673, 0.693], [0.634, 0.327, 0.307], [0.981, 0.673, 0.307], [0.218, 0.218, 0.000], [0.303, 0.500, 0.803], [0.697, 0.500, 0.197], [0.782, 0.782, 0.000]], "magnetic_moment_mub_per_atom": 0.00, "volume_a3_per_atom": 20.2, "dos_at_fermi_per_ev_atom": 0.568}

Entry ii
{"formula": "Th3Zn4Pd4", "functional": "PBE", "state": "relaxed", "cell": [[3.721, 0.000, 0.000], [0.004, 4.291, 0.000], [1.853, 2.110, 14.166]], "species": ["Th", "Th", "Th", "Zn", "Zn", "Zn", "Zn", "Pd", "Pd", "Pd", "Pd"], "fractional_positions": [[0.000, 0.000, 0.000], [0.147, 0.647, 0.707], [0.853, 0.353, 0.293], [0.253, 0.254, 0.493], [0.403, 0.903, 0.192], [0.597, 0.097, 0.808], [0.747, 0.746, 0.507], [0.312, 0.812, 0.375], [0.451, 0.450, 0.097], [0.549, 0.550, 0.903], [0.688, 0.188, 0.625]], "magnetic_moment_mub_per_atom": 0.00, "volume_a3_per_atom": 20.6, "dos_at_fermi_per_ev_atom": 0.569}

Least stable structure: entry ii

Entry i
{"formula": "ThZn4Pd2", "functional": "PBE", "state": "relaxed", "cell": [[7.618, 0.000, 0.000], [0.000, 7.618, 0.000], [0.000, 0.000, 4.255]], "species": ["Th", "Th", "Zn", "Zn", "Zn", "Zn", "Zn", "Zn", "Zn", "Zn", "Pd", "Pd", "Pd", "Pd"], "fractional_positions": [[0.000, 0.000, 0.000], [0.500, 0.500, 0.500], [0.092, 0.350, 0.500], [0.150, 0.592, 0.000], [0.350, 0.092, 0.500], [0.408, 0.850, 0.000], [0.592, 0.150, 0.000], [0.650, 0.908, 0.500], [0.850, 0.408, 0.000], [0.908, 0.650, 0.500], [0.221, 0.779, 0.500], [0.279, 0.279, 0.000], [0.721, 0.721, 0.000], [0.779, 0.221, 0.500]], "magnetic_moment_mub_per_atom": 0.00, "volume_a3_per_atom": 17.6, "dos_at_fermi_per_ev_atom": 0.377}

Entry ii
{"formula": "ThZn4Pd2", "functional": "PBE", "state": "relaxed", "cell": [[4.068, 0.000, 0.000], [0.000, 15.542, 0.000], [0.000, 0.000, 4.010]], "species": ["Th", "Th", "Zn", "Zn", "Zn", "Zn", "Zn", "Zn", "Zn", "Zn", "Pd", "Pd", "Pd", "Pd"], "fractional_positions": [[0.000, 0.000, 0.000], [0.500, 0.500, 0.000], [0.000, 0.190, 0.500], [0.000, 0.309, 0.000], [0.000, 0.691, 0.000], [0.000, 0.810, 0.500], [0.500, 0.191, 0.000], [0.500, 0.310, 0.500], [0.500, 0.690, 0.500], [0.500, 0.809, 0.000], [0.000, 0.414, 0.500], [0.000, 0.586, 0.500], [0.500, 0.086, 0.500], [0.500, 0.914, 0.500]], "magnetic_moment_mub_per_atom": 0.00, "volume_a3_per_atom": 18.1, "dos_at_fermi_per_ev_atom": 0.381}

Least stable structure: entry ii

Entry i
{"formula": "ThZnPd6", "functional": "PBE", "state": "relaxed", "cell": [[4.187, 0.000, 0.000], [0.000, 4.187, 0.000], [0.000, 0.000, 7.717]], "species": ["Th", "Zn", "Pd", "Pd", "Pd", "Pd", "Pd", "Pd"], "fractional_positions": [[0.000, 0.000, 0.000], [0.000, 0.000, 0.500], [0.000, 0.500, 0.268], [0.000, 0.500, 0.732], [0.500, 0.000, 0.268], [0.500, 0.000, 0.732], [0.500, 0.500, 0.000], [0.500, 0.500, 0.500]], "magnetic_moment_mub_per_atom": 0.00, "volume_a3_per_atom": 16.9, "dos_at_fermi_per_ev_atom": 0.722}

Entry ii
{"formula": "ThZnPd6", "functional": "PBE", "state": "relaxed", "cell": [[2.725, 1.573, 6.641], [-2.725, 1.573, 6.641], [0.000, -3.146, 6.641]], "species": ["Th", "Zn", "Pd", "Pd", "Pd", "Pd", "Pd", "Pd"], "fractional_positions": [[0.000, 0.000, 0.000], [0.500, 0.500, 0.500], [0.064, 0.572, 0.572], [0.428, 0.428, 0.936], [0.428, 0.936, 0.428], [0.572, 0.064, 0.572], [0.572, 0.572, 0.064], [0.936, 0.428, 0.428]], "magnetic_moment_mub_per_atom": 0.00, "volume_a3_per_atom": 21.3, "dos_at_fermi_per_ev_atom": 0.410}

Least stable structure: entry ii

Entry i
{"formula": "ThZn4Pd", "functional": "PBE", "state": "relaxed", "cell": [[0.000, 3.781, 3.781], [3.781, 0.000, 3.781], [3.781, 3.781, 0.000]], "species": ["Th", "Zn", "Zn", "Zn", "Zn", "Pd"], "fractional_positions": [[0.000, 0.000, 0.000], [0.376, 0.376, 0.376], [0.376, 0.376, 0.872], [0.376, 0.872, 0.376], [0.872, 0.376, 0.376], [0.750, 0.750, 0.750]], "magnetic_moment_mub_per_atom": 0.00, "volume_a3_per_atom": 18.0, "dos_at_fermi_per_ev_atom": 1.030}

Entry ii
{"formula": "ThZn4Pd", "functional": "PBE", "state": "relaxed", "cell": [[2.162, -7.783, 0.000], [2.162, 7.783, 0.000], [0.000, 0.000, 6.655]], "species": ["Th", "Th", "Zn", "Zn", "Zn", "Zn", "Zn", "Zn", "Zn", "Zn", "Pd", "Pd"], "fractional_positions": [[0.130, 0.870, 0.750], [0.870, 0.130, 0.250], [0.067, 0.933, 0.250], [0.331, 0.669, 0.562], [0.331, 0.669, 0.938], [0.500, 0.500, 0.000], [0.500, 0.500, 0.500], [0.669, 0.331, 0.062], [0.669, 0.331, 0.438], [0.933, 0.067, 0.750], [0.230, 0.770, 0.250], [0.770, 0.230, 0.750]], "magnetic_moment_mub_per_atom": 0.00, "volume_a3_per_atom": 18.7, "dos_at_fermi_per_ev_atom": 0.658}

Least stable structure: entry i

Entry i
{"formula": "ThZr2Pd", "functional": "PBE", "state": "relaxed", "cell": [[7.062, 0.000, 0.000], [0.000, 7.062, 0.000], [0.000, 0.000, 7.062]], "species": ["Th", "Th", "Th", "Th", "Zr", "Zr", "Zr", "Zr", "Zr", "Zr", "Zr", "Zr", "Pd", "Pd", "Pd", "Pd"], "fractional_positions": [[0.000, 0.000, 0.000], [0.000, 0.500, 0.500], [0.500, 0.000, 0.500], [0.500, 0.500, 0.000], [0.250, 0.250, 0.250], [0.250, 0.250, 0.750], [0.250, 0.750, 0.250], [0.250, 0.750, 0.750], [0.750, 0.250, 0.250], [0.750, 0.250, 0.750], [0.750, 0.750, 0.250], [0.750, 0.750, 0.750], [0.000, 0.000, 0.500], [0.000, 0.500, 0.000], [0.500, 0.000, 0.000], [0.500, 0.500, 0.500]], "magnetic_moment_mub_per_atom": 0.00, "volume_a3_per_atom": 22.0, "dos_at_fermi_per_ev_atom": 1.793}

Entry ii
{"formula": "ThZr2Pd", "functional": "PBE", "state": "relaxed", "cell": [[3.275, 0.000, 0.000], [-1.637, 2.836, 0.000], [0.000, 0.000, 29.862]], "species": ["Th", "Th", "Th", "Zr", "Zr", "Zr", "Zr", "Zr", "Zr", "Pd", "Pd", "Pd"], "fractional_positions": [[0.000, 0.000, 0.000], [0.333, 0.667, 0.667], [0.667, 0.333, 0.333], [0.000, 0.000, 0.240], [0.000, 0.000, 0.427], [0.333, 0.667, 0.094], [0.333, 0.667, 0.906], [0.667, 0.333, 0.573], [0.667, 0.333, 0.760], [0.000, 0.000, 0.833], [0.333, 0.667, 0.500], [0.667, 0.333, 0.166]], "magnetic_moment_mub_per_atom": 0.00, "volume_a3_per_atom": 23.1, "dos_at_fermi_per_ev_atom": 1.127}

Entry iii
{"formula": "ThZr2Pd", "functional": "PBE", "state": "relaxed", "cell": [[3.442, 0.000, 0.000], [0.000, 3.442, 0.000], [0.000, 0.000, 7.758]], "species": ["Th", "Zr", "Zr", "Pd"], "fractional_positions": [[0.000, 0.000, 0.000], [0.500, 0.500, 0.290], [0.500, 0.500, 0.710], [0.000, 0.000, 0.500]], "magnetic_moment_mub_per_atom": 0.00, "volume_a3_per_atom": 23.0, "dos_at_fermi_per_ev_atom": 0.854}

Least stable structure: entry i